1.
Here is a relaxed structure of Ta4MoRu2 from the Alexandria database. Energies are from PBE.

Properties
**Total energy**: -11.020 eV per atom
**Calculated formation energy**: -49.0 meV per atom
**Crystal system**: tetragonal
**Size of the total moment**: 0.00 μB per cell

Geometry as CIF:
```
data_Ta4MoRu2
_space_group_name_H-M_alt 'I 4/m m m'
_space_group_IT_number 139
_space_group_name_Hall '-I 4 2'
_cell_length_a 6.343
_cell_length_b 6.343
_cell_length_c 6.218
_cell_angle_alpha 90.00
_cell_angle_beta 90.00
_cell_angle_gamma 90.00
loop_
_atom_site_label
_atom_site_fract_x
_atom_site_fract_y
_atom_site_fract_z
Ta1 0.250 0.250 0.250
Mo1 0.000 0.000 0.000
Ru1 0.000 0.500 0.000
```


2.
Here is a relaxed structure of TaMoRu from the Alexandria database. Energies are from PBE.

Properties
**Total energy**: -10.773 eV per atom
**Calculated formation energy**: -119.8 meV per atom
**Crystal system**: monoclinic
**Size of the total moment**: 0.00 μB per cell

Geometry as CIF:
```
data_TaMoRu
_space_group_name_H-M_alt 'P 1 21/m 1'
_space_group_IT_number 11
_cell_length_a 4.510
_cell_length_b 4.506
_cell_length_c 5.264
_cell_angle_alpha 90.00
_cell_angle_beta 115.47
_cell_angle_gamma 90.00
loop_
_space_group_symop_operation_xyz
'x,y,z'
'-x,-y,-z'
'-x,y+1/2,-z'
'x,-y+1/2,z'
loop_
_atom_site_label
_atom_site_fract_x
_atom_site_fract_y
_atom_site_fract_z
Ta1 0.243 0.250 0.486
Mo1 0.426 0.750 0.850
Ru1 0.098 0.750 0.198
```


3.
Here is a relaxed structure of TaMo2Ru from the Alexandria database. Energies are from PBE.

Properties
**Total energy**: -10.822 eV per atom
**Calculated formation energy**: -123.9 meV per atom
**Crystal system**: tetragonal
**Size of the total moment**: 0.00 μB per cell

Geometry as CIF:
```
data_TaMo2Ru
_space_group_name_H-M_alt 'P 4 m m'
_space_group_IT_number 99
_cell_length_a 3.167
_cell_length_b 3.167
_cell_length_c 6.367
_cell_angle_alpha 90.00
_cell_angle_beta 90.00
_cell_angle_gamma 90.00
loop_
_space_group_symop_operation_xyz
'x,y,z'
'-y,x,z'
'-x,-y,z'
'y,-x,z'
'-x,y,z'
'y,x,z'
'x,-y,z'
'-y,-x,z'
loop_
_atom_site_label
_atom_site_fract_x
_atom_site_fract_y
_atom_site_fract_z
Ta1 0.000 0.000 0.000
Mo1 0.000 0.000 0.490
Mo2 0.500 0.500 0.260
Ru1 0.500 0.500 0.760
```


4.
Here is a relaxed structure of Ta3MoRu2 from the Alexandria database. Energies are from PBE.

Properties
**Total energy**: -11.186 eV per atom
**Calculated formation energy**: -362.8 meV per atom
**Crystal system**: orthorhombic
**Size of the total moment**: 0.00 μB per cell

Geometry as CIF:
```
data_Ta3MoRu2
_space_group_name_H-M_alt 'C m m m'
_space_group_IT_number 65
_space_group_name_Hall '-C 2 2'
_cell_length_a 4.511
_cell_length_b 13.528
_cell_length_c 6.389
_cell_angle_alpha 90.00
_cell_angle_beta 90.00
_cell_angle_gamma 90.00
loop_
_atom_site_label
_atom_site_fract_x
_atom_site_fract_y
_atom_site_fract_z
Ta1 0.000 0.000 0.248
Ta2 0.000 0.332 0.247
Mo1 0.000 0.165 0.000
Ru1 0.000 0.166 0.500
Ru2 0.000 0.500 0.000
Ru3 0.000 0.500 0.500
```


Computed values of calculated volume (unit: Å³ per cell) for the preceding records, in sequence: 250, 97, 64, 390.